## NdDy5Ho4 (GGA-PBE)

Data for an optimized crystal structure of NdDy5Ho4.

CIF file:
```
data_NdDy5Ho4
_chemical_formula_sum 'Nd1 Dy5 Ho4'
_symmetry_space_group_name_H-M 'P 1'
_symmetry_Int_Tables_number 1
_symmetry_space_group_name_Hall 'P 1'
_cell_length_a 6.288
_cell_length_b 7.851
_cell_length_c 7.851
_cell_angle_alpha 80.77
_cell_angle_beta 66.39
_cell_angle_gamma 66.39
loop_
_atom_site_label
_atom_site_type_symbol
_atom_site_fract_x
_atom_site_fract_y
_atom_site_fract_z
Ho1 Ho 0.104 0.299 0.399
Dy1 Dy 0.678 0.000 0.000
Nd1 Nd 0.222 0.000 0.000
Dy2 Dy 0.804 0.379 0.912
Ho2 Ho 0.802 0.701 0.601
Dy3 Dy 0.183 0.912 0.621
Ho3 Ho 0.503 0.601 0.299
Dy4 Dy 0.095 0.621 0.088
Dy5 Dy 0.716 0.088 0.379
Ho4 Ho 0.403 0.399 0.701
```

E_form in eV per atom: 0.30
ρ in g/cm³: 8.250
Total moment in μB/f.u.: 0.00

## NdDyHo6 (GGA-PBE)

Data for an optimized crystal structure of NdDyHo6.

CIF file:
```
data_NdDyHo6
_chemical_formula_sum 'Nd1 Dy1 Ho6'
_symmetry_space_group_name_H-M 'P 1'
_symmetry_Int_Tables_number 1
_symmetry_space_group_name_Hall 'P 1'
_cell_length_a 6.695
_cell_length_b 6.519
_cell_length_c 6.968
_cell_angle_alpha 105.16
_cell_angle_beta 61.78
_cell_angle_gamma 90.02
loop_
_atom_site_label
_atom_site_type_symbol
_atom_site_fract_x
_atom_site_fract_y
_atom_site_fract_z
Ho1 Ho 0.904 0.272 0.528
Nd1 Nd 0.000 0.000 0.000
Ho2 Ho 0.458 0.252 0.001
Dy1 Dy 0.000 0.500 0.000
Ho3 Ho 0.574 0.769 0.520
Ho4 Ho 0.542 0.748 0.999
Ho5 Ho 0.096 0.728 0.472
Ho6 Ho 0.426 0.231 0.480
```

E_form in eV per atom: 0.21
ΔE to the lowest computed polymorph in meV/atom: 56
ρ in g/cm³: 8.410
Total moment in μB/f.u.: 0.00

## Nd7Dy3Ho (GGA-PBE)

Data for an optimized crystal structure of Nd7Dy3Ho.

CIF file:
```
data_Nd7Dy3Ho
_chemical_formula_sum 'Nd14 Dy6 Ho2'
_symmetry_space_group_name_H-M 'P 1'
_symmetry_Int_Tables_number 1
_symmetry_space_group_name_Hall 'P 1'
_cell_length_a 10.309
_cell_length_b 10.309
_cell_length_c 12.630
_cell_angle_alpha 65.42
_cell_angle_beta 114.58
_cell_angle_gamma 139.12
loop_
_atom_site_label
_atom_site_type_symbol
_atom_site_fract_x
_atom_site_fract_y
_atom_site_fract_z
Nd1 Nd 0.913 0.580 0.026
Dy1 Dy 0.000 0.000 0.000
Ho1 Ho 0.500 0.500 0.500
Nd2 Nd 0.845 0.163 0.226
Nd3 Nd 0.155 0.837 0.774
Nd4 Nd 0.581 0.916 0.972
Nd5 Nd 0.713 0.713 0.250
Nd6 Nd 0.084 0.419 0.472
Dy2 Dy 0.669 0.328 0.774
Dy3 Dy 0.328 0.669 0.726
Nd7 Nd 0.163 0.846 0.274
Nd8 Nd 0.087 0.420 0.974
Nd9 Nd 0.420 0.087 0.526
Dy4 Dy 0.331 0.672 0.226
Ho2 Ho 0.500 0.500 0.000
Nd10 Nd 0.580 0.913 0.474
Dy5 Dy 0.000 0.000 0.500
Nd11 Nd 0.916 0.581 0.528
Nd12 Nd 0.837 0.154 0.726
Nd13 Nd 0.287 0.287 0.750
Nd14 Nd 0.419 0.084 0.028
Dy6 Dy 0.672 0.331 0.274
```

E_form in eV per atom: 0.18
ΔE to the lowest computed polymorph in meV/atom: 0
ρ in g/cm³: 7.012
Total moment in μB/f.u.: 0.00

## NdDy4Ho5 (GGA-PBE)

Data for an optimized crystal structure of NdDy4Ho5.

CIF file:
```
data_NdDy4Ho5
_chemical_formula_sum 'Nd1 Dy4 Ho5'
_symmetry_space_group_name_H-M 'P 1'
_symmetry_Int_Tables_number 1
_symmetry_space_group_name_Hall 'P 1'
_cell_length_a 3.551
_cell_length_b 6.757
_cell_length_c 14.351
_cell_angle_alpha 95.90
_cell_angle_beta 101.20
_cell_angle_gamma 106.76
loop_
_atom_site_label
_atom_site_type_symbol
_atom_site_fract_x
_atom_site_fract_y
_atom_site_fract_z
Dy1 Dy 0.837 0.727 0.804
Ho1 Ho 0.049 0.426 0.613
Ho2 Ho 0.500 0.500 0.000
Ho3 Ho 0.761 0.881 0.584
Dy2 Dy 0.409 0.809 0.217
Nd1 Nd 0.500 0.000 0.000
Dy3 Dy 0.163 0.273 0.196
Ho4 Ho 0.951 0.574 0.387
Dy4 Dy 0.591 0.191 0.783
Ho5 Ho 0.239 0.119 0.416
```

E_form in eV per atom: 0.06
ΔE to the lowest computed polymorph in meV/atom: 0
ρ in g/cm³: 8.433
Total moment in μB/f.u.: 0.00

| no. | DFT total energy (eV for the cell shown) |
| --- | --- |
| 1 | -43.1 |
| 2 | -35.2 |
| 3 | -99.5 |
| 4 | -45.4 |